First-principles (PBE) data for a relaxed structure of Ag2SnSbTe4, as listed in Alexandria.

Results
- DOS at the Fermi energy (states/eV per atom) = 0.28
- uncorrected formation energy (eV per atom) = -0.131

The structure in POSCAR format:
```
Ag2SnSbTe4
1.0
-1.687 -3.452 2.039
6.892 -2.598 1.305
-2.157 4.363 5.601
Ag Sn Sb Te
2 1 1 4
direct
0.500 0.000 0.500
0.000 0.500 0.500
0.500 0.500 0.000
0.000 0.000 0.000
0.500 0.253 0.262
0.500 0.747 0.738
0.000 0.245 0.736
0.000 0.755 0.264
```